(1)
Entry from the Alexandria database: an optimized crystal structure of LaTbI2 (PBE-GGA).

Properties
formation energy without anion corrections = -869 meV per atom
space-group type = No. 160
mass density = 7.25 g cm⁻³
energy above the most stable polymorph in this dataset = 0.000 eV/atom
N(E_F) = 0.606 states/eV/atom

```
LaTbI2
1.0
3.908 0.000 0.000
1.954 3.384 0.000
1.954 1.128 9.559
La Tb I
1 1 2
Direct
0.665 0.665 0.006
0.502 0.502 0.495
0.087 0.087 0.738
0.246 0.246 0.261
```

---

(2)
Entry from the Alexandria database: an optimized crystal structure of Rb2NaH2 (PBE-GGA).

Properties
space-group type = No. 139
mass density = 1.66 g cm⁻³
energy above the most stable polymorph in this dataset = 0.053 eV/atom
N(E_F) = 0.588 states/eV/atom

```
Rb2NaH2
1.0
-0.822 -4.647 2.381
4.674 -1.730 -1.761
5.014 -0.757 6.120
Na Rb H
1 2 2
Direct
0.000 0.000 0.000
0.316 0.316 0.367
0.684 0.684 0.633
0.750 0.250 0.500
0.250 0.750 0.500
```

---

(3)
Entry from the Alexandria database: an optimized crystal structure of Ba4Mg3Tl2 (PBE-GGA).

Properties
space-group type = No. 12
mass density = 4.79 g cm⁻³
N(E_F) = 0.796 states/eV/atom
E_form = -0.174 eV per atom

```
Ba4Mg3Tl2
1.0
-2.591 3.394 -2.411
2.544 -3.101 -7.099
-6.616 -6.153 3.436
Ba Mg Tl
4 3 2
Direct
0.232 0.705 0.465
0.768 0.295 0.535
0.576 0.869 0.152
0.424 0.131 0.848
0.087 0.216 0.174
0.913 0.784 0.826
0.000 0.500 0.000
0.397 0.545 0.793
0.603 0.455 0.207
```

---

(4)
Entry from the Alexandria database: an optimized crystal structure of CrAgSb2 (PBE-GGA).

Properties
formation energy without anion corrections = 293 meV per atom
space-group type = No. 119
mass density = 7.74 g cm⁻³
energy above the most stable polymorph in this dataset = 0.088 eV/atom
N(E_F) = 0.517 states/eV/atom

```
CrAgSb2
1.0
-1.449 -3.675 -4.239
3.540 -0.561 -4.553
0.393 -0.046 5.781
Ag Cr Sb
1 1 2
Direct
0.500 0.500 0.000
0.750 0.250 0.500
0.000 0.000 0.000
0.250 0.750 0.500
```

---

(5)
Entry from the Alexandria database: an optimized crystal structure of CeGaNi (PBE-GGA).

Properties
space-group type = No. 189
mass density = 8.13 g cm⁻³
N(E_F) = 0.683 states/eV/atom
E_form = -0.613 eV per atom

```
CeGaNi
1.0
6.884 0.000 0.000
-3.442 5.962 0.000
0.000 0.000 4.010
Ce Ga Ni
3 3 3
Direct
0.000 0.579 0.500
0.421 0.421 0.500
0.579 0.000 0.500
0.238 0.000 0.000
0.762 0.762 0.000
0.000 0.238 0.000
0.667 0.333 0.000
0.333 0.667 0.000
0.000 0.000 0.500
```

---

(6)
Entry from the Alexandria database: an optimized crystal structure of La2Tb6CePm3 (PBE-GGA).

Properties
space-group type = No. 12
mass density = 7.52 g cm⁻³
N(E_F) = 1.658 states/eV/atom
E_form = 0.033 eV per atom

```
La2Tb6CePm3
1.0
6.276 -0.003 0.013
-3.139 5.435 0.013
-1.071 -1.855 11.686
La Tb Ce Pm
2 6 1 3
Direct
0.334 0.666 0.000
0.666 0.334 0.000
0.917 0.586 0.750
0.753 0.753 0.250
0.083 0.414 0.250
0.586 0.917 0.750
0.247 0.247 0.750
0.414 0.083 0.250
0.000 0.000 0.000
0.167 0.833 0.500
0.833 0.167 0.500
0.500 0.500 0.500
```

---

(7)
Entry from the Alexandria database: an optimized crystal structure of In2CoRh (PBE-GGA).

Properties
space-group type = No. 99
mass density = 9.37 g cm⁻³
N(E_F) = 1.438 states/eV/atom
E_form = 0.114 eV per atom

```
In2CoRh
1.0
-0.345 -2.097 -2.723
-2.692 -1.537 1.525
-3.597 3.829 -2.492
Co In Rh
1 2 1
Direct
0.500 0.500 0.759
0.000 0.000 0.959
0.500 0.500 0.287
0.000 0.000 0.494
```

---

(8)
Entry from the Alexandria database: an optimized crystal structure of TiIn2GaCl6 (PBE-GGA).

Properties
formation energy without anion corrections = -1091 meV per atom
space-group type = No. 146
mass density = 3.14 g cm⁻³
N(E_F) = 0.628 states/eV/atom

```
TiIn2GaCl6
1.0
-2.000 -6.008 -3.985
-0.949 -6.599 3.397
-6.869 -2.870 0.749
Ti In Ga Cl
1 2 1 6
Direct
0.321 0.321 0.037
0.540 0.540 0.381
0.032 0.032 0.903
0.812 0.813 0.562
0.550 0.175 0.253
0.174 0.023 0.253
0.023 0.550 0.253
0.465 0.629 0.791
0.629 0.115 0.791
0.115 0.465 0.791
```

---

Question: Look up the mass density of the first one.
Answer: 7.25 g cm⁻³